DFT (PBE) results for Ba2MgSn4Au3 after structural relaxation.

Cell: 4.799 4.799 11.878 Å, 90.00 90.00 90.00°
Element x y z (fractional)
Mg 0.500 0.500 0.500
Sn 0.500 0.000 0.635
Ba 0.500 0.000 0.249
Sn 0.500 0.500 0.000
Sn 0.000 0.000 0.000
Ba 0.000 0.500 0.751
Sn 0.000 0.500 0.365
Au 0.500 0.000 0.868
Au 0.000 0.500 0.132
Au 0.000 0.000 0.500

The formation energy comes out at -0.5853 eV per atom.

DFT (PBE) results for BaMgSn2Au4 after structural relaxation.

Cell: 4.763 4.763 10.221 Å, 76.52 76.52 60.00°
Element x y z (fractional)
Mg 0.500 0.500 0.500
Au 0.857 0.857 0.428
Au 0.403 0.403 0.790
Sn 0.241 0.241 0.276
Sn 0.759 0.759 0.724
Au 0.597 0.597 0.210
Au 0.143 0.143 0.572
Ba 0.000 0.000 0.000

The formation energy comes out at -0.4940 eV per atom.

DFT (PBE) results for BaMg2SnAu4 after structural relaxation.

Cell: 4.597 4.597 10.812 Å, 77.73 77.73 60.00°
Element x y z (fractional)
Au 0.875 0.875 0.375
Au 0.402 0.402 0.793
Mg 0.235 0.235 0.294
Au 0.598 0.598 0.207
Sn 0.500 0.500 0.500
Ba 0.000 0.000 0.000
Au 0.125 0.125 0.625
Mg 0.765 0.765 0.706

The formation energy comes out at -0.4930 eV per atom.